(1)
The following is a PBE calculation of a geometry-optimized Tb2PmHoP4 structure, from Alexandria.

a = 7.0039 Å, b = 4.0466 Å, c = 7.0042 Å
α = 90.00°, β = 109.47°, γ = 90.00°
Closest atoms and distances in Å follow each position.
Space group P2/m (No. 10)
One atom of each set of equivalent atoms:
Tb (0.0000, 0.0000, 0.0000)  6 P 2.87
Tb (0.5000, 0.5000, 0.0000)  6 P 2.84
Pm (0.0000, 0.5000, 0.5000)  6 P 2.88
Ho (0.5000, 0.0000, 0.5000)  6 P 2.85
P (0.2538, 0.5000, 0.2496)  3 Tb 2.84-2.87, 2 Ho 2.85, 1 Pm 2.88
P (0.2550, 0.0000, 0.7534)  3 Tb 2.84-2.87, 1 Ho 2.85, 2 Pm 2.88

Output
Energy ... -6.624 eV per atom
V ... 187.2 Å³/cell
D(E_F) ... 0.094 states/eV per atom
Formation enthalpy at 0 K ... -1595 meV per atom

(2)
The following is a PBE calculation of a geometry-optimized ZrNiSN2 structure, from Alexandria.

a = 3.7856 Å, b = 3.7856 Å, c = 4.2868 Å
α = 90.00°, β = 90.00°, γ = 90.00°
Closest atoms and distances in Å follow each position.
Space group P4/mmm (No. 123)
One atom of each set of equivalent atoms:
Zr (0.0000, 0.0000, 0.0000)  4 S 2.68, 8 N 2.86
Ni (0.5000, 0.5000, 0.5000)  4 N 1.89
S (0.5000, 0.5000, 0.0000)  2 Ni 2.14
N (0.0000, 0.5000, 0.5000)  2 Ni 1.89

Output
Energy ... -6.672 eV per atom
V ... 61.4 Å³/cell
D(E_F) ... 0.851 states/eV per atom
Formation energy without anion corrections ... 350 meV per atom

(3)
The following is a PBE calculation of a geometry-optimized Si2WSe structure, from Alexandria.

a = 4.8009 Å, b = 4.8009 Å, c = 2.7730 Å
α = 90.00°, β = 90.00°, γ = 90.00°
Closest atoms and distances in Å follow each position.
Space group P4/mmm (No. 123)
One atom of each set of equivalent atoms:
Si (0.0000, 0.5000, 0.0000)  4 Se 2.77, 4 W 2.77, 2 Si 2.77
W (0.0000, 0.0000, 0.5000)  8 Si 2.77, 2 W 2.77
Se (0.5000, 0.5000, 0.5000)  8 Si 2.77, 2 Se 2.77

Output
Energy ... -6.233 eV per atom
V ... 63.9 Å³/cell
D(E_F) ... 0.477 states/eV per atom
Formation energy without anion corrections ... 587 meV per atom